This record from Alexandria via LeMat-Bulk describes a relaxed structure of K3Sc3MoO8. The functional is PBE with a Hubbard U.

Cell: 6.4447 6.4447 7.2628 Å, 116.35 116.35 59.48°
Closest atoms and distances in Å follow each position.
Fractional positions:
K (0.0000, 0.0000, 0.0000)  6 O 2.74-2.78
K (0.0000, 0.5000, 0.0000)  6 O 2.75-2.76
K (0.5000, 0.0000, 0.0000)  6 O 2.75-2.76
Sc (0.0000, 0.5000, 0.5000)  6 O 2.14-2.18
Sc (0.5000, 0.0000, 0.5000)  6 O 2.14-2.18
Sc (0.5000, 0.5000, 0.5000)  6 O 2.14-2.17
Mo (0.0000, 0.0000, 0.5000)  6 O 2.08-2.15
O (0.2169, 0.7354, 0.6706)  1 Mo 2.08, 2 Sc 2.17-2.18
O (0.2232, 0.2232, 0.6716)  2 Sc 2.14, 1 Mo 2.15
O (0.2646, 0.7831, 0.3294)  1 Mo 2.08, 2 Sc 2.17-2.18
O (0.2772, 0.2772, 0.3274)  3 Sc 2.14-2.15
O (0.7228, 0.7228, 0.6726)  3 Sc 2.14-2.15
O (0.7354, 0.2169, 0.6706)  1 Mo 2.08, 2 Sc 2.17-2.18
O (0.7768, 0.7768, 0.3284)  2 Sc 2.14, 1 Mo 2.15
O (0.7831, 0.2646, 0.3294)  1 Mo 2.08, 2 Sc 2.17-2.18

**Total energy**: -107.8 eV/f.u.
**M_tot**: 2.00 μB/f.u.
**SG**: No. 12
**Density of states at the Fermi level**: 0.0 states/eV/f.u.